VASP calculation (PBEsol) on a relaxed SrCr3Pd crystal.

a = 4.927 Å, b = 4.927 Å, c = 4.927 Å
α = 90.00°, β = 90.00°, γ = 90.00°
Positions (direct):
Sr: 0.000 0.000 0.000
Cr: 0.000 0.500 0.500
Cr: 0.500 0.000 0.500
Cr: 0.500 0.500 0.000
Pd: 0.500 0.500 0.500

## Properties
The total magnetic moment comes out at 12.92 μB per cell. For the formation energy, the calculation gives 5.57 eV/f.u.